[1]
Here is crystalline TbSm4Er7 at its relaxed geometry from Alexandria. Energies are from PBE-GGA.

a b c (Å): 6.791 6.519 11.759
angles (deg): 75.05 49.84 81.52
Fractional coordinates of all 12 atoms:
1 Tb 0.000 0.000 0.000
2 Er 0.500 0.000 0.000
3 Er 0.721 0.188 0.385
4 Er 0.942 0.682 0.358
5 Er 0.058 0.318 0.642
6 Er 0.198 0.487 0.050
7 Er 0.802 0.513 0.950
8 Er 0.279 0.812 0.615
9 Sm 0.692 0.836 0.692
10 Sm 0.476 0.361 0.715
11 Sm 0.524 0.639 0.285
12 Sm 0.308 0.164 0.308

## Properties
N(E_F): 19.3 states/eV/cell
ρ: 8.35 Mg/m³
Symmetry: P-1, No. 2

---

[2]
Here is crystalline Tb2Sm5Er12 at its relaxed geometry from Alexandria. Energies are from PBE-GGA.

a b c (Å): 6.249 9.012 13.767
angles (deg): 128.09 94.77 91.93
Fractional coordinates of all 19 atoms:
1 Sm 0.123 0.668 0.156
2 Sm 0.877 0.332 0.844
3 Sm 0.000 0.000 0.500
4 Sm 0.274 0.505 0.557
5 Sm 0.726 0.495 0.443
6 Er 0.926 0.214 0.049
7 Er 0.497 0.064 0.388
8 Er 0.015 0.890 0.731
9 Er 0.400 0.270 0.944
10 Er 0.645 0.608 0.251
11 Er 0.820 0.455 0.659
12 Er 0.600 0.730 0.056
13 Er 0.074 0.786 0.951
14 Er 0.355 0.392 0.749
15 Er 0.503 0.936 0.612
16 Er 0.985 0.110 0.269
17 Er 0.180 0.545 0.341
18 Tb 0.456 0.161 0.155
19 Tb 0.544 0.839 0.845

## Properties
N(E_F): 29.5 states/eV/cell
Excess energy over the best structure of this formula in the dataset: 0.000 eV per atom
ρ: 8.45 Mg/m³
Symmetry: P-1, No. 2

---

[3]
Here is crystalline TbSm5Er at its relaxed geometry from Alexandria. Energies are from PBE-GGA.

a b c (Å): 6.203 8.012 7.766
angles (deg): 121.05 113.54 90.00
Fractional coordinates of all 7 atoms:
1 Sm 0.432 0.179 0.000
2 Sm 0.189 0.253 0.505
3 Sm 0.432 0.821 0.000
4 Sm 0.683 0.747 0.495
5 Sm 0.168 0.500 0.000
6 Tb 0.931 0.000 0.000
7 Er 0.696 0.500 0.000

## Properties
N(E_F): 9.5 states/eV/cell
Excess energy over the best structure of this formula in the dataset: 0.713 eV per atom
ρ: 6.12 Mg/m³
Symmetry: Imm2, No. 44

---

[4]
Here is crystalline TbSm5Er2 at its relaxed geometry from Alexandria. Energies are from PBE-GGA.

a b c (Å): 5.068 7.180 14.360
angles (deg): 90.00 90.00 90.00
Fractional coordinates of all 16 atoms:
1 Er 0.500 0.750 0.376
2 Er 0.500 0.750 0.876
3 Er 0.500 0.250 0.624
4 Er 0.500 0.250 0.124
5 Sm 0.000 0.499 0.250
6 Sm 0.000 0.999 0.250
7 Sm 0.500 0.751 0.625
8 Sm 0.000 0.000 0.000
9 Sm 0.000 0.500 0.500
10 Sm 0.500 0.749 0.125
11 Sm 0.000 0.501 0.750
12 Sm 0.500 0.251 0.875
13 Sm 0.000 0.001 0.750
14 Sm 0.500 0.249 0.375
15 Tb 0.000 0.500 0.000
16 Tb 0.000 0.000 0.500

## Properties
N(E_F): 22.8 states/eV/cell
ρ: 7.91 Mg/m³
Symmetry: Pbam, No. 55

---

[5]
Here is crystalline Tb2SmEr7 at its relaxed geometry from Alexandria. Energies are from PBE-GGA.

a b c (Å): 5.275 9.460 9.460
angles (deg): 125.59 90.00 90.00
Fractional coordinates of all 10 atoms:
1 Er 0.500 0.711 0.933
2 Er 0.500 0.067 0.289
3 Er 0.500 0.289 0.067
4 Er 0.000 0.201 0.799
5 Er 0.500 0.500 0.500
6 Er 0.500 0.933 0.711
7 Er 0.000 0.799 0.201
8 Tb 0.500 0.701 0.299
9 Tb 0.500 0.299 0.701
10 Sm 0.000 0.000 0.000

## Properties
N(E_F): 14.5 states/eV/cell
Excess energy over the best structure of this formula in the dataset: 0.388 eV per atom
ρ: 7.09 Mg/m³
Symmetry: Cmmm, No. 65

---

[6]
Here is crystalline Tb2Sm12Er at its relaxed geometry from Alexandria. Energies are from PBE-GGA.

a b c (Å): 6.772 6.772 24.799
angles (deg): 90.00 90.00 63.73
Fractional coordinates of all 30 atoms:
1 Sm 0.000 0.000 0.801
2 Sm 0.251 0.249 0.128
3 Sm 0.749 0.751 0.128
4 Sm 0.500 0.500 0.801
5 Sm 0.227 0.727 0.560
6 Sm 0.732 0.768 0.585
7 Sm 0.768 0.732 0.415
8 Sm 0.273 0.773 0.440
9 Sm 0.500 0.500 0.325
10 Sm 0.000 0.000 0.199
11 Sm 0.500 0.500 0.675
12 Sm 0.749 0.249 0.925
13 Sm 0.000 0.000 0.325
14 Sm 0.268 0.232 0.585
15 Sm 0.751 0.749 0.872
16 Sm 0.500 0.500 0.199
17 Sm 0.232 0.268 0.415
18 Sm 0.751 0.251 0.075
19 Sm 0.727 0.227 0.440
20 Sm 0.251 0.751 0.925
21 Sm 0.249 0.251 0.872
22 Sm 0.249 0.749 0.075
23 Sm 0.773 0.273 0.560
24 Sm 0.000 0.000 0.675
25 Er 0.500 0.000 0.000
26 Er 0.000 0.500 0.000
27 Tb 0.500 0.000 0.734
28 Tb 0.500 0.000 0.271
29 Tb 0.000 0.500 0.729
30 Tb 0.000 0.500 0.266

## Properties
N(E_F): 45.9 states/eV/cell
ρ: 7.45 Mg/m³
Symmetry: Cmme, No. 67

---

[7]
Here is crystalline Tb7SmEr5 at its relaxed geometry from Alexandria. Energies are from PBE-GGA.

a b c (Å): 6.677 8.666 8.666
angles (deg): 79.53 67.34 67.34
Fractional coordinates of all 13 atoms:
1 Tb 0.980 0.348 0.692
2 Tb 0.482 0.190 0.846
3 Tb 0.231 0.269 0.269
4 Tb 0.980 0.692 0.348
5 Tb 0.423 0.577 0.577
6 Tb 0.482 0.846 0.190
7 Tb 0.730 0.270 0.270
8 Er 0.998 0.998 0.540
9 Er 0.465 0.540 0.998
10 Er 0.998 0.540 0.998
11 Er 0.465 0.998 0.540
12 Er 0.732 0.768 0.768
13 Sm 0.035 0.965 0.965

## Properties
N(E_F): 24.0 states/eV/cell
Excess energy over the best structure of this formula in the dataset: 0.000 eV per atom
ρ: 8.17 Mg/m³
Symmetry: Imm2, No. 44

---

[8]
Here is crystalline Tb3Sm4Er2 at its relaxed geometry from Alexandria. Energies are from PBE-GGA.

a b c (Å): 6.192 6.200 12.880
angles (deg): 118.75 103.83 119.96
Fractional coordinates of all 9 atoms:
1 Er 0.779 0.558 0.334
2 Er 0.221 0.442 0.666
3 Sm 0.112 0.224 0.334
4 Sm 0.888 0.776 0.666
5 Sm 0.333 0.667 0.000
6 Sm 0.667 0.333 0.000
7 Tb 0.000 0.000 0.000
8 Tb 0.554 0.110 0.665
9 Tb 0.446 0.890 0.335

## Properties
N(E_F): 11.7 states/eV/cell
Excess energy over the best structure of this formula in the dataset: 0.000 eV per atom
ρ: 8.05 Mg/m³
Symmetry: P-1, No. 2

---

[9]
Here is crystalline TbSmEr2 at its relaxed geometry from Alexandria. Energies are from PBE-GGA.

a b c (Å): 3.550 3.550 10.037
angles (deg): 90.00 90.00 90.00
Fractional coordinates of all 4 atoms:
1 Sm 0.500 0.500 0.000
2 Er 0.000 0.000 0.748
3 Er 0.000 0.000 0.252
4 Tb 0.500 0.500 0.500

## Properties
N(E_F): 5.3 states/eV/cell
Excess energy over the best structure of this formula in the dataset: 0.006 eV per atom
ρ: 8.45 Mg/m³
Symmetry: P4/mmm, No. 123

---

[10]
Here is crystalline Tb4Sm2Er3 at its relaxed geometry from Alexandria. Energies are from PBE-GGA.

a b c (Å): 6.141 11.238 11.238
angles (deg): 62.21 61.83 61.83
Fractional coordinates of all 18 atoms:
1 Er 0.250 0.598 0.402
2 Er 0.257 0.264 0.068
3 Er 0.757 0.068 0.264
4 Er 0.243 0.932 0.736
5 Er 0.743 0.736 0.932
6 Er 0.750 0.402 0.598
7 Sm 0.421 0.236 0.523
8 Sm 0.079 0.477 0.764
9 Sm 0.921 0.523 0.236
10 Sm 0.579 0.764 0.477
11 Tb 0.418 0.574 0.855
12 Tb 0.580 0.094 0.812
13 Tb 0.080 0.812 0.094
14 Tb 0.918 0.855 0.574
15 Tb 0.420 0.906 0.188
16 Tb 0.920 0.188 0.906
17 Tb 0.082 0.145 0.426
18 Tb 0.582 0.426 0.145

## Properties
N(E_F): 24.9 states/eV/cell
ρ: 8.34 Mg/m³
Symmetry: C2/c, No. 15

---

[11]
Here is crystalline Tb12Sm5Er at its relaxed geometry from Alexandria. Energies are from PBE-GGA.

a b c (Å): 6.208 6.208 17.516
angles (deg): 93.40 93.40 119.97
Fractional coordinates of all 18 atoms:
1 Tb 0.223 0.223 0.667
2 Tb 0.612 0.612 0.832
3 Tb 0.277 0.944 0.832
4 Tb 0.056 0.723 0.168
5 Tb 0.889 0.556 0.667
6 Tb 0.556 0.889 0.667
7 Tb 0.388 0.388 0.168
8 Tb 0.944 0.277 0.832
9 Tb 0.777 0.777 0.333
10 Tb 0.723 0.056 0.168
11 Tb 0.111 0.444 0.333
12 Tb 0.444 0.111 0.333
13 Er 0.000 0.000 0.000
14 Sm 0.333 0.667 0.000
15 Sm 0.167 0.833 0.500
16 Sm 0.833 0.167 0.500
17 Sm 0.667 0.333 0.000
18 Sm 0.500 0.500 0.500

## Properties
N(E_F): 20.1 states/eV/cell
ρ: 8.08 Mg/m³
Symmetry: C2/m, No. 12

---

[12]
Here is crystalline TbSm2Er4 at its relaxed geometry from Alexandria. Energies are from PBE-GGA.

a b c (Å): 3.525 8.718 8.547
angles (deg): 119.31 101.91 90.00
Fractional coordinates of all 7 atoms:
1 Tb 0.000 0.000 0.000
2 Sm 0.931 0.570 0.861
3 Sm 0.069 0.430 0.139
4 Er 0.704 0.293 0.410
5 Er 0.296 0.707 0.590
6 Er 0.646 0.843 0.291
7 Er 0.354 0.157 0.709

## Properties
N(E_F): 10.9 states/eV/cell
Excess energy over the best structure of this formula in the dataset: 0.000 eV per atom
ρ: 8.42 Mg/m³
Symmetry: C2/m, No. 12

---

[13]
Here is crystalline Tb3Sm7Er2 at its relaxed geometry from Alexandria. Energies are from PBE-GGA.

a b c (Å): 3.610 5.765 19.273
angles (deg): 98.60 90.00 90.00
Fractional coordinates of all 12 atoms:
1 Sm 0.500 0.927 0.855
2 Sm 0.000 0.232 0.464
3 Sm 0.000 0.407 0.814
4 Sm 0.000 0.593 0.186
5 Sm 0.000 0.768 0.536
6 Sm 0.500 0.073 0.145
7 Sm 0.000 0.000 0.000
8 Er 0.000 0.852 0.703
9 Er 0.000 0.148 0.297
10 Tb 0.500 0.685 0.369
11 Tb 0.500 0.315 0.631
12 Tb 0.500 0.500 0.000

## Properties
N(E_F): 18.4 states/eV/cell
Excess energy over the best structure of this formula in the dataset: 0.000 eV per atom
ρ: 7.80 Mg/m³
Symmetry: Cmmm, No. 65

---

[14]
Here is crystalline Tb12Sm2Er at its relaxed geometry from Alexandria. Energies are from PBE-GGA.

a b c (Å): 6.388 6.699 26.309
angles (deg): 85.93 104.25 117.07
Fractional coordinates of all 30 atoms:
1 Tb 0.609 0.636 0.082
2 Tb 0.046 0.252 0.537
3 Tb 0.368 0.421 0.949
4 Tb 0.229 0.735 0.151
5 Tb 0.642 0.652 0.784
6 Tb 0.123 0.202 0.816
7 Tb 0.391 0.699 0.398
8 Tb 0.422 0.517 0.653
9 Tb 0.078 0.983 0.347
10 Tb 0.377 0.298 0.184
11 Tb 0.963 0.737 0.466
12 Tb 0.454 0.248 0.463
13 Tb 0.746 0.188 0.118
14 Tb 0.858 0.848 0.216
15 Tb 0.754 0.312 0.882
16 Tb 0.132 0.079 0.051
17 Tb 0.537 0.763 0.534
18 Tb 0.629 0.265 0.594
19 Tb 0.271 0.765 0.849
20 Tb 0.109 0.801 0.602
21 Tb 0.911 0.026 0.679
22 Tb 0.891 0.864 0.918
23 Tb 0.589 0.474 0.321
24 Tb 0.871 0.235 0.406
25 Sm 0.495 0.093 0.737
26 Sm 0.488 0.948 0.281
27 Sm 0.012 0.552 0.719
28 Sm 0.005 0.407 0.263
29 Er 0.990 0.524 0.017
30 Er 0.510 0.976 0.983

## Properties
N(E_F): 45.9 states/eV/cell
ρ: 8.13 Mg/m³
Symmetry: P-1, No. 2

---

[15]
Here is crystalline Tb4Sm3Er4 at its relaxed geometry from Alexandria. Energies are from PBE-GGA.

a b c (Å): 5.669 6.637 10.562
angles (deg): 90.00 90.00 115.28
Fractional coordinates of all 11 atoms:
1 Tb 0.752 0.505 0.212
2 Tb 0.888 0.776 0.500
3 Tb 0.959 0.917 0.000
4 Tb 0.752 0.505 0.788
5 Er 0.103 0.206 0.703
6 Er 0.103 0.206 0.297
7 Er 0.616 0.231 0.500
8 Er 0.555 0.110 0.000
9 Sm 0.408 0.816 0.708
10 Sm 0.408 0.816 0.292
11 Sm 0.254 0.509 0.000

## Properties
N(E_F): 16.8 states/eV/cell
Excess energy over the best structure of this formula in the dataset: 0.138 eV per atom
ρ: 8.11 Mg/m³
Symmetry: Amm2, No. 38

---

[16]
Here is crystalline Tb4SmEr at its relaxed geometry from Alexandria. Energies are from PBE-GGA.

a b c (Å): 6.577 6.577 6.577
angles (deg): 60.00 60.00 60.00
Fractional coordinates of all 6 atoms:
1 Tb 0.124 0.625 0.625
2 Tb 0.625 0.625 0.124
3 Tb 0.625 0.124 0.625
4 Tb 0.625 0.625 0.625
5 Er 0.000 0.000 0.000
6 Sm 0.250 0.250 0.250

## Properties
N(E_F): 9.7 states/eV/cell
Excess energy over the best structure of this formula in the dataset: 0.253 eV per atom
ρ: 7.87 Mg/m³
Symmetry: F-43m, No. 216

---

[17]
Here is crystalline TbSm5Er6 at its relaxed geometry from Alexandria. Energies are from PBE-GGA.

a b c (Å): 5.042 10.021 9.421
angles (deg): 122.13 105.53 90.00
Fractional coordinates of all 12 atoms:
1 Sm 0.333 0.333 0.667
2 Sm 0.666 0.166 0.332
3 Sm 0.667 0.667 0.333
4 Sm 0.334 0.834 0.668
5 Sm 0.000 0.500 0.000
6 Er 0.834 0.083 0.667
7 Er 0.166 0.416 0.333
8 Er 0.834 0.584 0.667
9 Er 0.500 0.751 0.000
10 Er 0.166 0.917 0.333
11 Er 0.500 0.249 0.000
12 Tb 0.000 0.000 0.000

## Properties
N(E_F): 15.5 states/eV/cell
ρ: 8.31 Mg/m³
Symmetry: Immm, No. 71

---

[18]
Here is crystalline Tb4SmEr15 at its relaxed geometry from Alexandria. Energies are from PBE-GGA.

a b c (Å): 4.982 4.982 24.883
angles (deg): 90.00 90.00 90.00
Fractional coordinates of all 20 atoms:
1 Er 0.000 0.500 0.301
2 Er 0.500 0.500 0.600
3 Er 0.500 0.000 0.301
4 Er 0.000 0.500 0.101
5 Er 0.500 0.000 0.500
6 Er 0.500 0.500 0.000
7 Er 0.500 0.500 0.400
8 Er 0.500 0.000 0.899
9 Er 0.500 0.000 0.699
10 Er 0.000 0.500 0.500
11 Er 0.500 0.500 0.201
12 Er 0.000 0.500 0.899
13 Er 0.500 0.500 0.799
14 Er 0.500 0.000 0.101
15 Er 0.000 0.500 0.699
16 Sm 0.000 0.000 0.000
17 Tb 0.000 0.000 0.400
18 Tb 0.000 0.000 0.600
19 Tb 0.000 0.000 0.201
20 Tb 0.000 0.000 0.799

## Properties
N(E_F): 26.1 states/eV/cell
ρ: 8.86 Mg/m³
Symmetry: P4/mmm, No. 123

---

| no. | formation energy (meV per atom) |
| --- | --- |
| 1 | 88 |
| 2 | 63 |
| 3 | 901 |
| 4 | 16 |
| 5 | 709 |
| 6 | 161 |
| 7 | 247 |
| 8 | 16 |
| 9 | 21 |
| 10 | 93 |
| 11 | 4 |
| 12 | 47 |
| 13 | 111 |
| 14 | 45 |
| 15 | 156 |
| 16 | 267 |
| 17 | 18 |
| 18 | 21 |